A plane-wave DFT calculation with PBE-GGA was carried out for an optimized crystal structure of GaCuRu.

Cell: 2.7320 4.1454 4.1454 Å, 120.00 90.00 90.00°
Positions (direct):
Ru 0.6666 0.3333 0.6667
Cu 0.1682 0.6667 0.3333
Ga 0.1652 0.0000 0.0000

Output
Space-group type: P-6m2
Formation enthalpy at 0 K, meV per atom: -44
D(E_F), states/eV/cell: 2.59
VASP energy, Ry/atom: -0.40503
Energy above the most stable polymorph in this dataset, eV/f.u.: 0.00